[1]
An optimized crystal structure of Tl2ZnPt. Source: Alexandria, functional PBE-GGA.

The energy relative to the elements is -77 meV per atom. The excess energy over the best structure of this formula in the dataset comes out at 0 meV/atom. For the volume, the calculation gives 24.637 Å³ per atom. For the magnetic moment, the calculation gives 0.0 μB per cell.

The space group is R3m (No. 160, hexagonal axes) and the conventional cell measures 4.3521, 4.3521 and 18.0199 Å, with angles of 90.00, 90.00 and 120.00 degrees. The inequivalent atoms are Tl at (0.0000, 0.0000, 0.0000), Tl at (0.0000, 0.0000, 0.2079), Zn at (0.0000, 0.0000, 0.4373) and Pt at (0.0000, 0.0000, 0.7688).

[2]
An optimized crystal structure of Pm3SiGe2Rh9. Source: Alexandria, functional PBE-GGA.

For the formation energy from raw total energies, the calculation gives -0.484 eV per atom. For the volume, the calculation gives 18.986 Å³ per atom. For the magnetic moment, the calculation gives 0.0 μB per cell.

The space group is P-3m1 (No. 164) and the conventional cell measures 6.4867, 6.4867 and 7.8152 Å, with angles of 90.00, 90.00 and 120.00 degrees. The inequivalent atoms are Pm at (0.0000, 0.0000, 0.0000), Pm at (0.3333, 0.6667, 0.6685), Si at (0.0000, 0.0000, 0.5000), Ge at (0.3333, 0.6667, 0.1756), Rh at (0.0000, 0.5000, 0.0000) and Rh at (0.1582, 0.3164, 0.3296).

[3]
An optimized crystal structure of ZnNiAg2. Source: Alexandria, functional PBE-GGA.

The energy relative to the elements is 103 meV per atom. For the volume, the calculation gives 15.191 Å³ per atom. For the magnetic moment, the calculation gives 0.0 μB per cell.

The space group is Cmmm (No. 65) and the conventional cell measures 5.6094, 7.6298 and 2.8396 Å, with angles of 90.00, 90.00 and 90.00 degrees. The inequivalent atoms are Zn at (0.0000, 0.0000, 0.0000), Ni at (0.0000, 0.5000, 0.0000) and Ag at (0.2500, 0.2500, 0.5000).

[4]
An optimized crystal structure of MgPaCd2O6. Source: Alexandria, functional PBE-GGA.

For the formation energy from raw total energies, the calculation gives -2.097 eV per atom. For the volume, the calculation gives 13.714 Å³ per atom. For the magnetic moment, the calculation gives 2.4 μB per cell.

The space group is R3 (No. 146, hexagonal axes) and the conventional cell measures 5.6395, 5.6395 and 14.9370 Å, with angles of 90.00, 90.00 and 120.00 degrees. The inequivalent atoms are Mg at (0.0000, 0.0000, 0.0000), Pa at (0.0000, 0.0000, 0.5020), Cd at (0.0000, 0.0000, 0.2178), Cd at (0.0000, 0.0000, 0.7196), O at (0.0129, 0.3878, 0.2615) and O at (0.0204, 0.6288, 0.7598).

[5]
An optimized crystal structure of TaTl2Zn. Source: Alexandria, functional PBE-GGA.

The energy relative to the elements is 585 meV per atom. The excess energy over the best structure of this formula in the dataset comes out at 233 meV/atom. For the volume, the calculation gives 21.812 Å³ per atom. For the magnetic moment, the calculation gives 0.0 μB per cell.

The space group is P4/mmm (No. 123) and the conventional cell measures 3.0265, 3.0265 and 9.5250 Å, with angles of 90.00, 90.00 and 90.00 degrees. The inequivalent atoms are Ta at (0.0000, 0.0000, 0.0000), Tl at (0.5000, 0.5000, 0.2458) and Zn at (0.0000, 0.0000, 0.5000).

[6]
An optimized crystal structure of BaZn2Si. Source: Alexandria, functional PBE-GGA.

For the formation energy from raw total energies, the calculation gives 0.118 eV per atom. For the volume, the calculation gives 23.302 Å³ per atom. For the magnetic moment, the calculation gives 0.0 μB per cell.

The space group is P4/mmm (No. 123) and the conventional cell measures 3.5627, 3.5627 and 7.3436 Å, with angles of 90.00, 90.00 and 90.00 degrees. The inequivalent atoms are Ba at (0.0000, 0.0000, 0.0000), Zn at (0.5000, 0.5000, 0.3233) and Si at (0.0000, 0.0000, 0.5000).

[7]
An optimized crystal structure of YU2Fe4. Source: Alexandria, functional PBE-GGA.

The energy relative to the elements is 193 meV per atom. For the volume, the calculation gives 16.222 Å³ per atom. For the magnetic moment, the calculation gives 0.0 μB per cell.

The space group is P4_2/mnm (No. 136) and the conventional cell measures 7.5837, 7.5837 and 3.9488 Å, with angles of 90.00, 90.00 and 90.00 degrees. The inequivalent atoms are Y at (0.0000, 0.0000, 0.0000), U at (0.2363, 0.2363, 0.5000) and Fe at (0.1073, 0.6547, 0.5000).

[8]
An optimized crystal structure of CsNpFeSe4. Source: Alexandria, functional PBE-GGA.

For the formation energy from raw total energies, the calculation gives -0.837 eV per atom. For the volume, the calculation gives 29.753 Å³ per atom. For the magnetic moment, the calculation gives 14.2 μB per cell.

The space group is P2_1/m (No. 11) and the conventional cell measures 6.6480, 6.6326 and 9.9722 Å, with angles of 90.00, 108.68 and 90.00 degrees. The inequivalent atoms are Cs at (0.2503, 0.2500, 0.0540), Np at (0.2330, 0.2500, 0.5484), Fe at (0.2254, 0.7500, 0.3423), Se at (0.0228, 0.5129, 0.6961), Se at (0.4257, 0.7500, 0.1892) and Se at (0.4326, 0.7500, 0.5781).